A plane-wave DFT calculation with GGA-PBE was carried out for crystalline VCrSe2N at its relaxed geometry.

Unit cell a=4.9293 b=4.9293 c=3.4924 alpha=90.00 beta=90.00 gamma=90.00
Closest atoms and distances in Å follow each position.
Space group P4/mmm (No. 123)
Asymmetric unit:
V (0.0000, 0.0000, 0.0000)  8 Se 3.02
Cr (0.5000, 0.5000, 0.5000)  2 N 1.75
Se (0.0000, 0.5000, 0.5000)  2 Cr 2.46
N (0.5000, 0.5000, 0.0000)  2 Cr 1.75

E_tot: -32.32 eV for the cell shown
Polymorph energy (0 for the lowest one): 246 meV per atom
N(E_F): 5.71 states/eV/cell